First-principles (GGA-PBE) data for KTaZn after structural relaxation, as listed in Alexandria via LeMat-Bulk.

It has space group P6_3/mmc (No. 194), with a = 5.4431 Å, b = 5.4431 Å, c = 10.5967 Å, α = 90.00°, β = 90.00° and γ = 120.00°. The inequivalent atoms are K at (0.3333, 0.6667, 0.2500), Ta at (0.0000, 0.0000, 0.0000) and Zn at (0.0000, 0.0000, 0.2500).

The calculation puts the calculated density at 3.5 Mg/m³. As for the density of states at the Fermi level: 2.551 states/eV per atom. The calculation puts the volume at 271.9 Å³ per cell. The calculation puts the formation energy at 6.13 eV/f.u.